Entry 1:
A relaxed structure of ErTmHgIr. Source: Alexandria, functional PBE-GGA.

Structure (POSCAR):
```
ErTmHgIr
1.0
0.0000 3.5212 3.5212
3.5212 0.0000 3.5212
3.5212 3.5212 0.0000
Er Tm Hg Ir
1 1 1 1
Cartesian
0.0000 0.0000 0.0000 Er
3.5212 3.5212 3.5212 Tm
1.7606 1.7606 1.7606 Hg
5.2818 5.2818 5.2818 Ir
```

As for the formation energy from the elements: -0.65 eV per atom. Its symmetry is No. 216. The value obtained for the energy is -5.203 eV per atom.



Entry 2:
A relaxed structure of BaUPa2N6. Source: Alexandria, functional PBE-GGA.

Structure (POSCAR):
```
BaUPa2N6
1.0
3.0292 1.7489 5.2155
-3.0292 1.7489 5.2155
0.0000 -3.4978 5.2155
Ba U Pa N
1 1 2 6
Cartesian
0.0000 0.0000 0.0000 Ba
0.0000 0.0000 7.1522 U
0.0000 0.0000 3.8772 Pa
0.0000 0.0000 11.9208 Pa
-1.4967 -0.4781 5.6252 N
-1.0603 -1.8144 7.9582 N
1.1624 -1.0571 5.6253 N
-1.0411 1.8255 7.9582 N
0.3343 1.5352 5.6253 N
2.1015 -0.0111 7.9582 N
```

Its symmetry is No. 146. The value obtained for the energy is -9.618 eV per atom.



What is the energy in the second record?
-9.618 eV per atom



What is the energy in the first record?
-5.203 eV per atom



What is the energy in the first record?
-5.203 eV per atom